Version A
Entry from the Alexandria database: crystalline VReTe2I at its relaxed geometry (PBE).

Computed properties:
Fermi-level density of states = 0.803 states/eV/atom
crystal system = tetragonal

Unit cell a=5.251 b=5.251 c=5.552 alpha=90.00 beta=90.00 gamma=90.00
Sites, in units of the cell vectors:
V1 0.000 0.000 0.000
Re1 0.500 0.500 0.500
Te1 0.000 0.500 0.000
Te2 0.500 0.000 0.000
I1 0.000 0.000 0.500

Version B
Entry from the Alexandria database: crystalline VReTe2I at its relaxed geometry (PBE).

Computed properties:
Fermi-level density of states = 1.273 states/eV/atom
crystal system = tetragonal

Unit cell a=5.961 b=5.961 c=4.868 alpha=90.00 beta=90.00 gamma=90.00
Sites, in units of the cell vectors:
V1 0.000 0.000 0.000
Re1 0.500 0.500 0.000
Te1 0.000 0.500 0.500
Te2 0.500 0.000 0.500
I1 0.000 0.000 0.500

Going by the energies, version A is most stable and the next is 1004 meV per atom up.

Version A
Entry from the Alexandria database: crystalline TlReI2 at its relaxed geometry (PBE).

Computed properties:
Fermi-level density of states = 0.141 states/eV/atom
crystal system = tetragonal

Unit cell a=7.264 b=7.264 c=7.264 alpha=98.72 beta=98.72 gamma=134.17
Sites, in units of the cell vectors:
Tl1 0.000 0.000 0.000
Tl2 0.750 0.250 0.500
Re1 0.250 0.750 0.500
Re2 0.500 0.500 0.000
I1 0.258 0.625 0.133
I2 0.375 0.508 0.633
I3 0.492 0.125 0.867
I4 0.875 0.742 0.367

Version B
Entry from the Alexandria database: crystalline TlReI2 at its relaxed geometry (PBE).

Computed properties:
Fermi-level density of states = 0.143 states/eV/atom
crystal system = cubic

Unit cell a=5.815 b=5.815 c=5.815 alpha=60.00 beta=60.00 gamma=60.00
Sites, in units of the cell vectors:
Tl1 0.000 0.000 0.000
Re1 0.500 0.500 0.500
I1 0.250 0.250 0.250
I2 0.750 0.750 0.750

Going by the energies, version A is most stable and the next is 583 meV per atom up.

Version A
Entry from the Alexandria database: crystalline TlRe2I at its relaxed geometry (PBE).

Computed properties:
Fermi-level density of states = 1.222 states/eV/atom
crystal system = cubic

Unit cell a=4.713 b=4.713 c=4.713 alpha=60.00 beta=60.00 gamma=60.00
Sites, in units of the cell vectors:
Tl1 0.000 0.000 0.000
Re1 0.250 0.250 0.250
Re2 0.750 0.750 0.750
I1 0.500 0.500 0.500

Version B
Entry from the Alexandria database: crystalline TlRe2I at its relaxed geometry (PBE).

Computed properties:
Fermi-level density of states = 0.853 states/eV/atom
crystal system = tetragonal

Unit cell a=6.729 b=6.729 c=6.729 alpha=121.54 beta=121.54 gamma=87.35
Sites, in units of the cell vectors:
Tl1 0.000 0.000 0.000
Tl2 0.750 0.250 0.500
Re1 0.148 0.625 0.023
Re2 0.375 0.398 0.523
Re3 0.602 0.125 0.977
Re4 0.875 0.852 0.477
I1 0.250 0.750 0.500
I2 0.500 0.500 0.000

Going by the energies, version A is most stable and the next is 665 meV per atom up.

Version A
Entry from the Alexandria database: crystalline VRe2I at its relaxed geometry (PBE).

Computed properties:
Fermi-level density of states = 0.633 states/eV/atom
crystal system = cubic

Unit cell a=4.510 b=4.510 c=4.510 alpha=60.00 beta=60.00 gamma=60.00
Sites, in units of the cell vectors:
V1 0.000 0.000 0.000
Re1 0.250 0.250 0.250
Re2 0.750 0.750 0.750
I1 0.500 0.500 0.500

Version B
Entry from the Alexandria database: crystalline VRe2I at its relaxed geometry (PBE).

Computed properties:
Fermi-level density of states = 0.875 states/eV/atom
crystal system = tetragonal

Unit cell a=10.547 b=10.547 c=10.547 alpha=158.97 beta=158.97 gamma=29.92
Sites, in units of the cell vectors:
V1 0.000 0.000 0.000
V2 0.750 0.250 0.500
Re1 0.068 0.625 0.943
Re2 0.375 0.318 0.443
Re3 0.682 0.125 0.057
Re4 0.875 0.932 0.557
I1 0.250 0.750 0.500
I2 0.500 0.500 0.000

Going by the energies, version A is most stable and the next is 159 meV per atom up.

Version A
Entry from the Alexandria database: crystalline V2ReI at its relaxed geometry (PBE).

Computed properties:
Fermi-level density of states = 1.743 states/eV/atom
crystal system = cubic

Unit cell a=4.498 b=4.498 c=4.498 alpha=60.00 beta=60.00 gamma=60.00
Sites, in units of the cell vectors:
V1 0.250 0.250 0.250
V2 0.750 0.750 0.750
Re1 0.000 0.000 0.000
I1 0.500 0.500 0.500

Version B
Entry from the Alexandria database: crystalline V2ReI at its relaxed geometry (PBE).

Computed properties:
Fermi-level density of states = 0.566 states/eV/atom
crystal system = tetragonal

Unit cell a=7.307 b=7.307 c=7.307 alpha=133.40 beta=133.40 gamma=68.03
Sites, in units of the cell vectors:
V1 0.068 0.625 0.943
V2 0.375 0.318 0.443
V3 0.682 0.125 0.057
V4 0.875 0.932 0.557
Re1 0.000 0.000 0.000
Re2 0.750 0.250 0.500
I1 0.250 0.750 0.500
I2 0.500 0.500 0.000

Going by the energies, version A is most stable and the next is 270 meV per atom up.

Version A
Entry from the Alexandria database: crystalline Re3WI at its relaxed geometry (PBE).

Computed properties:
Fermi-level density of states = 1.702 states/eV/atom
crystal system = cubic

Unit cell a=4.820 b=4.820 c=4.820 alpha=90.00 beta=90.00 gamma=90.00
Sites, in units of the cell vectors:
Re1 0.000 0.000 0.500
Re2 0.000 0.500 0.000
Re3 0.500 0.000 0.000
W1 0.000 0.000 0.000
I1 0.500 0.500 0.500

Version B
Entry from the Alexandria database: crystalline Re3WI at its relaxed geometry (PBE).

Computed properties:
Fermi-level density of states = 1.722 states/eV/atom
crystal system = cubic

Unit cell a=4.724 b=4.724 c=4.724 alpha=90.00 beta=90.00 gamma=90.00
Sites, in units of the cell vectors:
Re1 0.000 0.000 0.500
Re2 0.000 0.500 0.000
Re3 0.500 0.000 0.000
W1 0.500 0.500 0.500
I1 0.000 0.000 0.000

Going by the energies, version A is most stable and the next is 708 meV per atom up.

Version A
Entry from the Alexandria database: crystalline ReWI2 at its relaxed geometry (PBE).

Computed properties:
Fermi-level density of states = 0.391 states/eV/atom
crystal system = tetragonal

Unit cell a=7.321 b=7.321 c=7.321 alpha=131.55 beta=131.55 gamma=70.94
Sites, in units of the cell vectors:
Re1 0.000 0.000 0.000
Re2 0.750 0.250 0.500
W1 0.250 0.750 0.500
W2 0.500 0.500 0.000
I1 0.121 0.625 0.996
I2 0.375 0.371 0.496
I3 0.629 0.125 0.004
I4 0.875 0.879 0.504

Version B
Entry from the Alexandria database: crystalline ReWI2 at its relaxed geometry (PBE).

Computed properties:
Fermi-level density of states = 1.158 states/eV/atom
crystal system = cubic

Unit cell a=4.761 b=4.761 c=4.761 alpha=60.00 beta=60.00 gamma=60.00
Sites, in units of the cell vectors:
Re1 0.000 0.000 0.000
W1 0.500 0.500 0.500
I1 0.250 0.250 0.250
I2 0.750 0.750 0.750

Going by the energies, version B is most stable and the next is 226 meV per atom up.

Version A
Entry from the Alexandria database: crystalline Re2WI at its relaxed geometry (PBE).

Computed properties:
Fermi-level density of states = 0.714 states/eV/atom
crystal system = tetragonal

Unit cell a=7.187 b=7.187 c=7.187 alpha=132.16 beta=132.16 gamma=69.98
Sites, in units of the cell vectors:
Re1 0.105 0.625 0.980
Re2 0.375 0.355 0.480
Re3 0.645 0.125 0.020
Re4 0.875 0.895 0.520
W1 0.000 0.000 0.000
W2 0.750 0.250 0.500
I1 0.250 0.750 0.500
I2 0.500 0.500 0.000

Version B
Entry from the Alexandria database: crystalline Re2WI at its relaxed geometry (PBE).

Computed properties:
Fermi-level density of states = 0.757 states/eV/atom
crystal system = cubic

Unit cell a=4.583 b=4.583 c=4.583 alpha=60.00 beta=60.00 gamma=60.00
Sites, in units of the cell vectors:
Re1 0.250 0.250 0.250
Re2 0.750 0.750 0.750
W1 0.000 0.000 0.000
I1 0.500 0.500 0.500

Going by the energies, version B is most stable and the next is 438 meV per atom up.

Version A
Entry from the Alexandria database: crystalline YReI2 at its relaxed geometry (PBE).

Computed properties:
Fermi-level density of states = 0.272 states/eV/atom
crystal system = tetragonal

Unit cell a=9.621 b=9.621 c=9.621 alpha=149.85 beta=149.85 gamma=43.17
Sites, in units of the cell vectors:
Y1 0.000 0.000 0.000
Y2 0.750 0.250 0.500
Re1 0.250 0.750 0.500
Re2 0.500 0.500 0.000
I1 0.158 0.625 0.033
I2 0.375 0.408 0.533
I3 0.592 0.125 0.967
I4 0.875 0.842 0.467

Version B
Entry from the Alexandria database: crystalline YReI2 at its relaxed geometry (PBE).

Computed properties:
Fermi-level density of states = 0.742 states/eV/atom
crystal system = cubic

Unit cell a=5.215 b=5.215 c=5.215 alpha=60.00 beta=60.00 gamma=60.00
Sites, in units of the cell vectors:
Y1 0.000 0.000 0.000
Re1 0.500 0.500 0.500
I1 0.250 0.250 0.250
I2 0.750 0.750 0.750

Going by the energies, version A is most stable and the next is 30 meV per atom up.

Version A
Entry from the Alexandria database: crystalline Y2ReI at its relaxed geometry (PBE).

Computed properties:
Fermi-level density of states = 0.795 states/eV/atom
crystal system = cubic

Unit cell a=5.161 b=5.161 c=5.161 alpha=60.00 beta=60.00 gamma=60.00
Sites, in units of the cell vectors:
Y1 0.250 0.250 0.250
Y2 0.750 0.750 0.750
Re1 0.000 0.000 0.000
I1 0.500 0.500 0.500

Version B
Entry from the Alexandria database: crystalline Y2ReI at its relaxed geometry (PBE).

Computed properties:
Fermi-level density of states = 0.224 states/eV/atom
crystal system = tetragonal

Unit cell a=7.994 b=7.994 c=7.994 alpha=130.59 beta=130.59 gamma=72.46
Sites, in units of the cell vectors:
Y1 0.047 0.625 0.922
Y2 0.375 0.297 0.422
Y3 0.703 0.125 0.078
Y4 0.875 0.953 0.578
Re1 0.000 0.000 0.000
Re2 0.750 0.250 0.500
I1 0.250 0.750 0.500
I2 0.500 0.500 0.000

Going by the energies, version A is most stable and the next is 245 meV per atom up.

Version A
Entry from the Alexandria database: crystalline ZnRe3I at its relaxed geometry (PBE).

Computed properties:
Fermi-level density of states = 0.728 states/eV/atom
crystal system = cubic

Unit cell a=4.819 b=4.819 c=4.819 alpha=90.00 beta=90.00 gamma=90.00
Sites, in units of the cell vectors:
Zn1 0.000 0.000 0.000
Re1 0.000 0.500 0.500
Re2 0.500 0.000 0.500
Re3 0.500 0.500 0.000
I1 0.500 0.500 0.500

Version B
Entry from the Alexandria database: crystalline ZnRe3I at its relaxed geometry (PBE).

Computed properties:
Fermi-level density of states = 1.023 states/eV/atom
crystal system = cubic

Unit cell a=4.611 b=4.611 c=4.611 alpha=90.00 beta=90.00 gamma=90.00
Sites, in units of the cell vectors:
Zn1 0.000 0.000 0.000
Re1 0.000 0.000 0.500
Re2 0.000 0.500 0.000
Re3 0.500 0.000 0.000
I1 0.500 0.500 0.500

Going by the energies, version B is most stable and the next is 415 meV per atom up.

Version A
Entry from the Alexandria database: crystalline Zr2ReI at its relaxed geometry (PBE).

Computed properties:
Fermi-level density of states = 1.853 states/eV/atom
crystal system = cubic

Unit cell a=4.903 b=4.903 c=4.903 alpha=60.00 beta=60.00 gamma=60.00
Sites, in units of the cell vectors:
Zr1 0.250 0.250 0.250
Zr2 0.750 0.750 0.750
Re1 0.000 0.000 0.000
I1 0.500 0.500 0.500

Version B
Entry from the Alexandria database: crystalline Zr2ReI at its relaxed geometry (PBE).

Computed properties:
Fermi-level density of states = 0.745 states/eV/atom
crystal system = tetragonal

Unit cell a=8.000 b=8.000 c=8.000 alpha=134.92 beta=134.92 gamma=65.65
Sites, in units of the cell vectors:
Zr1 0.049 0.625 0.924
Zr2 0.375 0.299 0.424
Zr3 0.701 0.125 0.076
Zr4 0.875 0.951 0.576
Re1 0.000 0.000 0.000
Re2 0.750 0.250 0.500
I1 0.250 0.750 0.500
I2 0.500 0.500 0.000

Going by the energies, version A is most stable and the next is 354 meV per atom up.